The following is a PBE-GGA calculation of crystalline TbPa4S5 at its relaxed geometry, from Alexandria.

Output
Fermi-level density of states = 1.4417 states/eV/atom
E_form (uncorrected) = -162 kJ/mol of atoms

Lattice parameters (Å, degrees): 6.754 6.754 6.754 99.57 99.57 131.86
Sites, in units of the cell vectors:
Tb 0.000 0.000 0.000
Pa 0.199 0.601 0.800
Pa 0.399 0.199 0.598
Pa 0.601 0.801 0.402
Pa 0.801 0.399 0.200
S 0.100 0.299 0.399
S 0.299 0.900 0.198
S 0.500 0.500 0.000
S 0.701 0.100 0.802
S 0.900 0.701 0.601

***

The following is a PBE-GGA calculation of crystalline NaPm2Ge3Pt4 at its relaxed geometry, from Alexandria.

Output
Fermi-level density of states = 0.4310 states/eV/atom
DFT formation energy = -796 meV/atom

Lattice parameters (Å, degrees): 4.300 4.300 10.657 90.00 90.00 90.00
Sites, in units of the cell vectors:
Na 0.000 0.000 0.000
Pm 0.000 0.500 0.741
Pm 0.500 0.000 0.259
Ge 0.000 0.500 0.372
Ge 0.500 0.000 0.628
Ge 0.500 0.500 0.000
Pt 0.000 0.000 0.500
Pt 0.000 0.500 0.145
Pt 0.500 0.000 0.855
Pt 0.500 0.500 0.500

***

The following is a PBE-GGA calculation of crystalline TlSn2Sb at its relaxed geometry, from Alexandria.

Output
excess energy over the best structure of this formula in the dataset = 0.120 eV/f.u.
Fermi-level density of states = 0.2407 states/eV/atom
E_form (uncorrected) = 7 kJ/mol of atoms

Lattice parameters (Å, degrees): 5.191 5.191 4.242 90.00 90.00 90.00
Sites, in units of the cell vectors:
Tl 0.000 0.000 0.000
Sn 0.000 0.500 0.500
Sn 0.500 0.000 0.500
Sb 0.500 0.500 0.000

***

The following is a PBE-GGA calculation of crystalline CsTb2MnSe4 at its relaxed geometry, from Alexandria.

Output
Fermi-level density of states = 0.3505 states/eV/atom
E_form (uncorrected) = -139 kJ/mol of atoms

Lattice parameters (Å, degrees): 7.697 7.697 14.586 90.00 90.00 148.36
Sites, in units of the cell vectors:
Cs 0.106 0.894 0.750
Cs 0.894 0.106 0.250
Tb 0.369 0.631 0.559
Tb 0.369 0.631 0.941
Tb 0.631 0.369 0.059
Tb 0.631 0.369 0.441
Mn 0.170 0.830 0.250
Mn 0.830 0.170 0.750
Se 0.000 0.000 0.000
Se 0.000 0.000 0.500
Se 0.258 0.742 0.106
Se 0.258 0.742 0.394
Se 0.422 0.578 0.750
Se 0.578 0.422 0.250
Se 0.742 0.258 0.606
Se 0.742 0.258 0.894

***

The following is a PBE-GGA calculation of crystalline SrH6Pt2Pb at its relaxed geometry, from Alexandria.

Output
VASP energy = -3.963 eV/atom
Fermi-level density of states = 0.1676 states/eV/atom

Lattice parameters (Å, degrees): 6.588 6.588 6.863 106.58 106.58 90.27
Sites, in units of the cell vectors:
Sr 0.150 0.850 0.750
Sr 0.850 0.150 0.250
H 0.091 0.667 0.317
H 0.125 0.174 0.048
H 0.159 0.564 0.927
H 0.174 0.125 0.548
H 0.333 0.909 0.183
H 0.436 0.841 0.573
H 0.564 0.159 0.427
H 0.667 0.091 0.817
H 0.826 0.875 0.452
H 0.841 0.436 0.073
H 0.875 0.826 0.952
H 0.909 0.333 0.683
Pt 0.169 0.342 0.741
Pt 0.342 0.169 0.241
Pt 0.658 0.831 0.759
Pt 0.831 0.658 0.259
Pb 0.415 0.585 0.250
Pb 0.585 0.415 0.750

***

The following is a PBE-GGA calculation of crystalline AgTeCl2 at its relaxed geometry, from Alexandria.

Output
excess energy over the best structure of this formula in the dataset = 0.000 eV/f.u.
E_form (uncorrected) = -33 kJ/mol of atoms

Lattice parameters (Å, degrees): 6.026 13.450 6.180 90.00 90.00 90.00
Sites, in units of the cell vectors:
Ag 0.073 0.135 0.000
Ag 0.427 0.635 0.500
Ag 0.573 0.365 0.000
Ag 0.927 0.865 0.500
Te 0.083 0.516 0.392
Te 0.417 0.016 0.892
Te 0.583 0.984 0.392
Te 0.917 0.484 0.892
Cl 0.122 0.878 0.883
Cl 0.168 0.326 0.874
Cl 0.332 0.826 0.374
Cl 0.378 0.378 0.383
Cl 0.622 0.622 0.883
Cl 0.668 0.174 0.874
Cl 0.832 0.674 0.374
Cl 0.878 0.122 0.383

***

The following is a PBE-GGA calculation of crystalline SiIrAu at its relaxed geometry, from Alexandria.

Output
excess energy over the best structure of this formula in the dataset = 0.355 eV/f.u.
Fermi-level density of states = 0.4043 states/eV/atom
E_form (uncorrected) = -19 kJ/mol of atoms

Lattice parameters (Å, degrees): 4.100 4.100 4.100 60.00 60.00 60.00
Sites, in units of the cell vectors:
Si 0.000 0.000 0.000
Ir 0.250 0.250 0.250
Au 0.750 0.750 0.750

***

The following is a PBE-GGA calculation of crystalline K2DySbO4 at its relaxed geometry, from Alexandria.

Output
E_form (uncorrected) = -191 kJ/mol of atoms

Lattice parameters (Å, degrees): 7.184 7.184 7.184 120.48 119.44 90.07
Sites, in units of the cell vectors:
K 0.000 0.000 0.000
K 0.500 0.000 0.000
K 0.500 0.000 0.500
K 0.500 0.500 0.500
Dy 0.000 0.000 0.500
Dy 0.000 0.500 0.000
Sb 0.000 0.500 0.500
Sb 0.500 0.500 0.000
O 0.191 0.734 0.458
O 0.224 0.266 0.958
O 0.228 0.258 0.530
O 0.228 0.698 0.970
O 0.772 0.302 0.030
O 0.772 0.742 0.470
O 0.776 0.734 0.042
O 0.809 0.266 0.542